An optimized crystal structure of Tl8Hg2Bi, computed with GGA-PBE.

Results
* crystal system: triclinic
* DOS(E_F): 0.4005 states/eV/atom
* formation energy from the elements: 0.003 eV per atom

Cell: 5.5557 7.7543 9.2490 Å, 112.25 105.76 94.33°
Closest atoms and distances in Å follow each position.
Space group P1 (No. 1)
Symmetry-distinct sites (fractional):
Tl  0.0000  0.0000  0.0000 [1 per cell]  3 Hg 3.17-3.33, 2 Tl 3.37-3.40
Tl  0.0247  0.5622  0.0638 [1 per cell]  3 Hg 3.31-3.53, 1 Bi 3.38, 6 Tl 3.55-3.68
Tl  0.2384  0.0377  0.3895 [1 per cell]  1 Bi 3.29, 6 Tl 3.37-3.61, 1 Hg 3.68
Tl  0.3501  0.8926  0.7169 [1 per cell]  3 Hg 3.29-3.54, 1 Bi 3.36, 5 Tl 3.53-3.65
Tl  0.3903  0.3850  0.7853 [1 per cell]  3 Hg 3.16-3.31, 2 Tl 3.41-3.45
Tl  0.5817  0.2903  0.1514 [1 per cell]  5 Tl 3.40-3.63, 1 Hg 3.41, 2 Bi 3.43-3.46
Tl  0.7133  0.7685  0.3891 [1 per cell]  2 Hg 3.16-3.19, 4 Tl 3.38-3.49
Tl  0.8271  0.5459  0.6452 [1 per cell]  6 Tl 3.38-3.68, 1 Hg 3.39, 2 Bi 3.43-3.44
Hg  0.5223  0.8152  0.0536 [1 per cell]  8 Tl 3.16-3.53
Hg  0.8509  0.1500  0.7181 [1 per cell]  8 Tl 3.16-3.54
Bi  0.2083  0.4630  0.3980 [1 per cell]  8 Tl 3.29-3.57



An optimized crystal structure of Be5Cl, computed with GGA-PBE.

Results
* crystal system: cubic
* raw total energy: -2.78 eV per atom
* DOS(E_F): 0.4725 states/eV/atom

Cell: 6.3704 6.3704 6.3704 Å, 90.00 90.00 90.00°
Closest atoms and distances in Å follow each position.
Space group F-43m (No. 216)
Symmetry-distinct sites (fractional):
Be  0.0000  0.0000  0.0000 [4 per cell]  12 Be 2.63, 4 Cl 2.76
Be  0.1287  0.1287  0.6287 [16 per cell]  6 Be 2.19-2.32
Cl  0.2500  0.2500  0.2500 [4 per cell]  16 Be 2.65-2.76



An optimized crystal structure of NdCd2Ag4, computed with GGA-PBE.

Results
* crystal system: tetragonal
* DOS(E_F): 0.5149 states/eV/atom
* formation energy from the elements: -0.199 eV per atom

Cell: 7.2596 7.2596 5.6194 Å, 90.00 90.00 90.00°
Closest atoms and distances in Å follow each position.
Space group I4/mmm (No. 139)
Symmetry-distinct sites (fractional):
Nd  0.0000  0.0000  0.0000 [2 per cell]  12 Ag 3.15-3.44
Cd  0.0000  0.5000  0.2500 [4 per cell]  2 Cd 2.81, 8 Ag 2.98
Ag  0.1931  0.1931  0.5000 [8 per cell]  4 Ag 2.80-3.04, 4 Cd 2.98



An optimized crystal structure of AcCdPd3, computed with GGA-PBE.

Results
* crystal system: monoclinic
* DOS(E_F): 0.4402 states/eV/atom
* formation energy from the elements: -0.570 eV per atom

Cell: 5.3065 5.9828 6.7458 Å, 90.00 92.50 90.00°
Closest atoms and distances in Å follow each position.
Space group P2_1/m (No. 11)
Symmetry-distinct sites (fractional):
Ac  0.1741  0.2500  0.1588 [2 per cell]  6 Pd 2.94-3.24
Cd  0.1233  0.7500  0.3965 [2 per cell]  5 Pd 2.75-2.90
Pd  0.3411  0.7500  0.0349 [2 per cell]  1 Cd 2.75, 4 Pd 2.82-2.86, 2 Ac 2.94-2.98
Pd  0.3503  0.0183  0.6837 [4 per cell]  2 Cd 2.75-2.90, 4 Pd 2.77-3.01



An optimized crystal structure of Mg3TlSn, computed with GGA-PBE.

Results
* crystal system: monoclinic
* DOS(E_F): 0.4305 states/eV/atom
* formation energy from the elements: -0.049 eV per atom

Cell: 7.8681 8.3563 9.2166 Å, 90.00 124.12 90.00°
Closest atoms and distances in Å follow each position.
Space group P2_1/c (No. 14)
Symmetry-distinct sites (fractional):
Mg  0.0801  0.1703  0.1044 [4 per cell]  2 Sn 2.97-3.06, 2 Tl 3.16-3.19, 5 Mg 3.24-3.30
Mg  0.2640  0.5817  0.9256 [4 per cell]  2 Sn 2.98-3.03, 3 Tl 3.16-3.22, 4 Mg 3.24-3.30
Mg  0.4125  0.5942  0.6588 [4 per cell]  3 Sn 3.03-3.06, 4 Mg 3.24-3.28, 2 Tl 3.28-3.39
Tl  0.1585  0.5910  0.2158 [4 per cell]  8 Mg 3.16-3.52, 2 Sn 3.41-3.44
Sn  0.3600  0.2342  0.9909 [4 per cell]  7 Mg 2.97-3.06



An optimized crystal structure of MgBe2Te, computed with GGA-PBE.

Results
* crystal system: tetragonal
* raw total energy: -2.52 eV per atom
* DOS(E_F): 0.5237 states/eV/atom

Cell: 3.5437 3.5437 5.4203 Å, 90.00 90.00 90.00°
Closest atoms and distances in Å follow each position.
Space group P4/mmm (No. 123)
Symmetry-distinct sites (fractional):
Mg  0.0000  0.0000  0.0000 [1 per cell]  2 Te 2.71, 8 Be 2.79
Be  0.5000  0.5000  0.2266 [2 per cell]  1 Be 2.46
Te  0.0000  0.0000  0.5000 [1 per cell]  2 Mg 2.71, 8 Be 2.91



An optimized crystal structure of TiIn3Pt12, computed with GGA-PBE.

Results
* crystal system: tetragonal
* DOS(E_F): 0.8770 states/eV/atom
* formation energy from the elements: -0.525 eV per atom

Cell: 4.0233 4.0233 16.0861 Å, 90.00 90.00 90.00°
Closest atoms and distances in Å follow each position.
Space group P4/mmm (No. 123)
Symmetry-distinct sites (fractional):
Ti  0.0000  0.0000  0.0000 [1 per cell]  12 Pt 2.75-2.84
In  0.0000  0.0000  0.2482 [2 per cell]  12 Pt 2.85-2.92
In  0.0000  0.0000  0.5000 [1 per cell]  12 Pt 2.84-2.86
Pt  0.0000  0.5000  0.1170 [4 per cell]  8 Pt 2.75-2.88, 2 Ti 2.75, 2 In 2.92
Pt  0.0000  0.5000  0.3734 [4 per cell]  8 Pt 2.84-2.88, 4 In 2.85-2.86
Pt  0.5000  0.5000  0.0000 [1 per cell]  8 Pt 2.75, 4 Ti 2.84
Pt  0.5000  0.5000  0.2453 [2 per cell]  4 In 2.85, 8 Pt 2.88
Pt  0.5000  0.5000  0.5000 [1 per cell]  4 In 2.84, 8 Pt 2.86



An optimized crystal structure of La2Ho2Tl, computed with GGA-PBE.

Results
* crystal system: monoclinic
* DOS(E_F): 1.1246 states/eV/atom
* formation energy from the elements: -0.107 eV per atom

Cell: 12.3305 5.5601 9.7308 Å, 90.00 105.14 90.00°
Closest atoms and distances in Å follow each position.
Space group C2/m (No. 12)
Symmetry-distinct sites (fractional):
La  0.0236  0.0000  0.3359 [4 per cell]  4 Ho 3.25-3.60, 1 Tl 3.33, 2 La 3.39-3.64
La  0.1630  0.0000  0.0496 [4 per cell]  3 Tl 3.53-3.64, 6 Ho 3.61-3.93, 5 La 3.64-3.88
Ho  0.0195  0.5000  0.8438 [4 per cell]  1 Tl 3.16, 2 Ho 3.20-3.54, 2 La 3.25
Ho  0.1470  0.5000  0.5577 [4 per cell]  3 Tl 3.26-3.31, 2 Ho 3.50-3.54, 2 La 3.60
Tl  0.2450  0.5000  0.2768 [4 per cell]  4 Ho 3.16-3.31, 3 La 3.33-3.53